[1]
DFT (GGA-PBE) results for an optimized crystal structure of LaCd2IrI.

It has space group P4/mmm (No. 123), with a = 5.323 Å, b = 5.323 Å, c = 5.382 Å, α = 90.00°, β = 90.00° and γ = 90.00°. The inequivalent atoms are La at (0.000, 0.000, 0.000), Cd at (0.000, 0.500, 0.500), Ir at (0.000, 0.000, 0.500) and I at (0.500, 0.500, 0.000).

For the uncorrected formation energy, the calculation gives -2.52 eV per formula unit. As for the total energy: -3.937 eV per atom.



[2]
DFT (GGA-PBE) results for an optimized crystal structure of MnGa2HgSe.

It has space group P4/mmm (No. 123), with a = 4.785 Å, b = 4.785 Å, c = 4.449 Å, α = 90.00°, β = 90.00° and γ = 90.00°. The inequivalent atoms are Mn at (0.000, 0.000, 0.000), Ga at (0.000, 0.500, 0.000), Hg at (0.500, 0.500, 0.500) and Se at (0.000, 0.000, 0.500).

For the uncorrected formation energy, the calculation gives 0.35 eV per formula unit. As for the total energy: -3.733 eV per atom.



[3]
DFT (GGA-PBE) results for an optimized crystal structure of BaSnHg4.

It has space group Cmcm (No. 63), with a = 5.855 Å, b = 15.518 Å, c = 8.333 Å, α = 90.00°, β = 90.00° and γ = 90.00°. The inequivalent atoms are Ba at (0.000, 0.118, 0.250), Sn at (0.000, 0.367, 0.250), Hg at (0.000, 0.100, 0.750), Hg at (0.000, 0.280, 0.570) and Hg at (0.000, 0.500, 0.000).

As for the total energy: -1.421 eV per atom. For the formation energy, the calculation gives -0.232 eV/atom. Its offset from the most stable computed form is 70 meV per atom.



[4]
DFT (GGA-PBE) results for an optimized crystal structure of CuAs2P.

It has space group I-42d (No. 122), with a = 5.543 Å, b = 5.543 Å, c = 10.840 Å, α = 90.00°, β = 90.00° and γ = 90.00°. The inequivalent atoms are Cu at (0.000, 0.000, 0.000), As at (0.246, 0.250, 0.125) and P at (0.000, 0.000, 0.500).

As for the total energy: -4.642 eV per atom. For the formation energy, the calculation gives 0.059 eV/atom.



[5]
DFT (GGA-PBE) results for an optimized crystal structure of LaEuN.

It has space group P3m1 (No. 156), with a = 3.6792 Å, b = 3.6792 Å, c = 6.6413 Å, α = 90.00°, β = 90.00° and γ = 120.00°. The inequivalent atoms are La at (0.0000, 0.0000, 0.0000), Eu at (0.6667, 0.3333, 0.5747) and N at (0.3333, 0.6667, 0.8080).

For the uncorrected formation energy, the calculation gives -2.43 eV per formula unit. As for the total energy: -8.651 eV per atom. Its offset from the most stable computed form is 0 meV per atom.



[6]
DFT (GGA-PBE) results for an optimized crystal structure of CoMoPt2.

It has space group C2/m (No. 12), with a = 9.106 Å, b = 2.748 Å, c = 4.714 Å, α = 90.00°, β = 100.54° and γ = 90.00°. The inequivalent atoms are Co at (0.000, 0.000, 0.000), Mo at (0.000, 0.500, 0.500) and Pt at (0.247, 0.500, 0.246).

As for the total energy: -7.592 eV per atom. For the formation energy, the calculation gives -0.087 eV/atom. Its offset from the most stable computed form is 107 meV per atom.



[7]
DFT (GGA-PBE) results for an optimized crystal structure of PrEuMgGe.

It has space group F-43m (No. 216), with a = 7.568 Å, b = 7.568 Å, c = 7.568 Å, α = 90.00°, β = 90.00° and γ = 90.00°. The inequivalent atoms are Pr at (0.000, 0.000, 0.000), Eu at (0.000, 0.000, 0.500), Mg at (0.250, 0.250, 0.250) and Ge at (0.250, 0.250, 0.750).

As for the total energy: -5.670 eV per atom. For the formation energy, the calculation gives -0.353 eV/atom.



[8]
DFT (GGA-PBE) results for an optimized crystal structure of Li2CuNi.

It has space group P2/m (No. 10), with a = 2.525 Å, b = 4.232 Å, c = 4.541 Å, α = 90.00°, β = 95.27° and γ = 90.00°. The inequivalent atoms are Li at (0.239, 0.000, 0.256), Cu at (0.500, 0.500, 0.000) and Ni at (0.000, 0.500, 0.500).

As for the total energy: -3.427 eV per atom. For the formation energy, the calculation gives -0.001 eV/atom. Its offset from the most stable computed form is 12 meV per atom.